Ho5Pb2: optimized geometry, PBE-GGA.

Cell: 8.5836 8.5836 8.5388 Å, 96.31 96.31 42.84°
Fractional positions:
1 Ho 0.1169 0.3233 0.3127
2 Ho 0.1784 0.8216 0.7500
3 Ho 0.2447 0.5387 0.0613
4 Ho 0.3233 0.1169 0.8127
5 Ho 0.4613 0.7553 0.4387
6 Ho 0.5387 0.2447 0.5613
7 Ho 0.6767 0.8831 0.1873
8 Ho 0.7553 0.4613 0.9387
9 Ho 0.8216 0.1784 0.2500
10 Ho 0.8831 0.6767 0.6873
11 Pb 0.0866 0.7186 0.4141
12 Pb 0.2814 0.9134 0.0859
13 Pb 0.7186 0.0866 0.9141
14 Pb 0.9134 0.2814 0.5859

Crystal system: monoclinic
Formation enthalpy at 0 K in eV/atom: -0.279
Distance to the lowest polymorph of the same formula in eV per atom: 0.0480

---

Na3Sn4Pb2: optimized geometry, PBE-GGA.

Cell: 5.6527 5.9190 9.0347 Å, 95.09 101.53 118.26°
Fractional positions:
1 Na 0.0000 0.0000 0.0000
2 Na 0.4535 0.8992 0.6760
3 Na 0.5465 0.1008 0.3240
4 Sn 0.1291 0.2338 0.6680
5 Sn 0.3150 0.6371 0.9893
6 Sn 0.6850 0.3629 0.0107
7 Sn 0.8709 0.7662 0.3320
8 Pb 0.2151 0.4492 0.3321
9 Pb 0.7849 0.5508 0.6679

Crystal system: triclinic
Formation enthalpy at 0 K in eV/atom: -0.108
Distance to the lowest polymorph of the same formula in eV per atom: 0.0000

---

LiSi2Au: optimized geometry, PBE-GGA.

Cell: 2.7175 4.1814 5.4985 Å, 90.00 90.00 90.00°
Fractional positions:
1 Li 0.0000 0.0000 0.0000
2 Si 0.5000 0.5000 0.2297
3 Si 0.5000 0.5000 0.7703
4 Au 0.0000 0.0000 0.5000

Crystal system: orthorhombic
ΔE_f (raw) in eV per atom: 0.0915
Distance to the lowest polymorph of the same formula in eV per atom: 0.1935

---

SrBeCu3: optimized geometry, PBE-GGA.

Cell: 4.4106 4.4106 4.4106 Å, 90.00 90.00 90.00°
Fractional positions:
1 Sr 0.0000 0.0000 0.0000
2 Be 0.5000 0.5000 0.5000
3 Cu 0.0000 0.5000 0.5000
4 Cu 0.5000 0.0000 0.5000
5 Cu 0.5000 0.5000 0.0000

Crystal system: cubic
Formation enthalpy at 0 K in eV/atom: 0.108
Distance to the lowest polymorph of the same formula in eV per atom: 0.0000

---

Ba3ZnIn: optimized geometry, PBE-GGA.

Cell: 12.1044 12.1044 6.0152 Å, 90.00 90.00 151.21°
Fractional positions:
1 Ba 0.0765 0.9235 0.7500
2 Ba 0.2493 0.7507 0.7500
3 Ba 0.4216 0.5784 0.7500
4 Ba 0.5784 0.4216 0.2500
5 Ba 0.7507 0.2493 0.2500
6 Ba 0.9235 0.0765 0.2500
7 Zn 0.3407 0.6593 0.2500
8 Zn 0.6593 0.3407 0.7500
9 In 0.1597 0.8403 0.2500
10 In 0.8403 0.1597 0.7500

Crystal system: orthorhombic
Formation enthalpy at 0 K in eV/atom: -0.254
Distance to the lowest polymorph of the same formula in eV per atom: 0.0000

---

Rb2NaSc: optimized geometry, PBE-GGA.

Cell: 8.4469 8.4469 8.4469 Å, 101.96 101.96 125.84°
Fractional positions:
1 Rb 0.1055 0.6250 0.9805
2 Rb 0.3750 0.3555 0.4805
3 Rb 0.6445 0.1250 0.0195
4 Rb 0.8750 0.8945 0.5195
5 Na 0.0000 0.0000 0.0000
6 Na 0.7500 0.2500 0.5000
7 Sc 0.2500 0.7500 0.5000
8 Sc 0.5000 0.5000 0.0000

Crystal system: tetragonal
Formation enthalpy at 0 K in eV/atom: 0.714